# TmPaPb2 PBE relaxed
# ΔE to the lowest computed polymorph: 72 meV per atom
# ΔH_f (0 K): -0.18 eV per formula unit
data_TmPaPb2
_chemical_formula_sum 'Tm3 Pa3 Pb6'
_space_group_name_H-M_alt 'R -3 m'
_space_group_IT_number 166
_space_group_name_Hall '-R 3 2"'
_cell_length_a 5.0389
_cell_length_b 5.0389
_cell_length_c 15.5882
_cell_angle_alpha 90.00
_cell_angle_beta 90.00
_cell_angle_gamma 120.00
loop_
_atom_site_label
_atom_site_fract_x
_atom_site_fract_y
_atom_site_fract_z
_atom_site_occupancy
Tm1 0.0000 0.0000 0.0000 1
Pa1 0.0000 0.0000 0.5000 1
Pb1 0.0000 0.0000 0.2544 1